Entry 1:
# CsRbV2Cl8

A relaxed CsRbV2Cl8 crystal (PBE-GGA, Alexandria).

a b c (Å): 7.0762 7.0762 10.7176
angles (deg): 70.72 70.72 60.00
Last column: nearest neighbours and their distance in Å.
Fractional coordinates of all 12 atoms:
Cl1 0.5326 0.3281 0.1961  1 V 2.24
Cl2 0.6719 0.0569 0.8039  1 V 2.24
Cl3 0.8314 0.8314 0.5058  1 V 2.23
Cl4 0.9431 0.5326 0.1961  1 V 2.24
Cl5 0.0569 0.4674 0.8039  1 V 2.24
Cl6 0.1686 0.1686 0.4942  1 V 2.23
Cl7 0.4674 0.6719 0.8039  1 V 2.24
Cl8 0.3281 0.9431 0.1961  1 V 2.24
V1 0.2436 0.2436 0.2693  4 Cl 2.23-2.24
V2 0.7564 0.7564 0.7307  4 Cl 2.23-2.24
Cs1 0.5000 0.5000 0.5000  12 Cl 3.74-4.09
Rb1 0.0000 0.0000 0.0000  6 Cl 3.42

Values from the calculation:
* uncorrected formation energy: -1.483 eV/atom

Entry 2:
# Sr2LiPuO4

A relaxed Sr2LiPuO4 crystal (PBE-GGA, Alexandria).

a b c (Å): 3.6125 5.9519 6.0502
angles (deg): 107.56 90.00 90.00
Last column: nearest neighbours and their distance in Å.
Fractional coordinates of all 8 atoms:
Sr1 0.5000 0.0000 0.5000  6 O 2.55-2.62
Sr2 0.0000 0.5000 0.5000  6 O 2.50-2.51
Pu1 0.5000 0.5000 0.0000  6 O 2.29-2.45
O1 0.5000 0.7317 0.7591  1 Pu 2.29, 3 Sr 2.51-2.55, 2 Li 2.56
O2 0.0000 0.7409 0.2246  1 Li 2.34, 2 Pu 2.45, 3 Sr 2.50-2.62
O3 0.5000 0.2683 0.2409  1 Pu 2.29, 3 Sr 2.51-2.55, 2 Li 2.56
O4 0.0000 0.2591 0.7754  1 Li 2.34, 2 Pu 2.45, 3 Sr 2.50-2.62
Li1 0.0000 0.0000 0.0000  6 O 2.34-2.56

Values from the calculation:
* uncorrected formation energy: -2.510 eV/atom

Entry 3:
# La6Nd12Mg

A relaxed La6Nd12Mg crystal (PBE-GGA, Alexandria).

a b c (Å): 8.7704 8.7704 8.7704
angles (deg): 89.38 89.38 89.38
Last column: nearest neighbours and their distance in Å.
Fractional coordinates of all 19 atoms:
Nd1 0.0242 0.1728 0.3650  4 La 3.54-3.76, 1 Mg 3.57, 5 Nd 3.60-3.85
Nd2 0.5312 0.4346 0.7836  3 Nd 3.38-3.60, 3 La 3.45-3.52
Nd3 0.7836 0.5312 0.4346  3 Nd 3.38-3.60, 3 La 3.45-3.52
Nd4 0.3650 0.0242 0.1728  4 La 3.54-3.76, 1 Mg 3.57, 5 Nd 3.60-3.85
Nd5 0.8272 0.6350 0.9758  4 La 3.54-3.76, 1 Mg 3.57, 5 Nd 3.60-3.85
Nd6 0.6350 0.9758 0.8272  4 La 3.54-3.76, 1 Mg 3.57, 5 Nd 3.60-3.85
Nd7 0.9758 0.8272 0.6350  4 La 3.54-3.76, 1 Mg 3.57, 5 Nd 3.60-3.85
Nd8 0.1728 0.3650 0.0242  4 La 3.54-3.76, 1 Mg 3.57, 5 Nd 3.60-3.85
Nd9 0.2164 0.4688 0.5654  3 Nd 3.38-3.60, 3 La 3.45-3.52
Nd10 0.5654 0.2164 0.4688  3 Nd 3.38-3.60, 3 La 3.45-3.52
Nd11 0.4688 0.5654 0.2164  3 Nd 3.38-3.60, 3 La 3.45-3.52
Nd12 0.4346 0.7836 0.5312  3 Nd 3.38-3.60, 3 La 3.45-3.52
La1 0.7060 0.2664 0.0942  7 Nd 3.45-3.76, 1 Mg 3.56, 2 La 3.61
La2 0.9058 0.2940 0.7336  7 Nd 3.45-3.76, 1 Mg 3.56, 2 La 3.61
La3 0.7336 0.9058 0.2940  7 Nd 3.45-3.76, 1 Mg 3.56, 2 La 3.61
La4 0.2940 0.7336 0.9058  7 Nd 3.45-3.76, 1 Mg 3.56, 2 La 3.61
La5 0.0942 0.7060 0.2664  7 Nd 3.45-3.76, 1 Mg 3.56, 2 La 3.61
La6 0.2664 0.0942 0.7060  7 Nd 3.45-3.76, 1 Mg 3.56, 2 La 3.61
Mg1 0.0000 0.0000 0.0000  6 La 3.56, 6 Nd 3.57

Values from the calculation:
* polymorph energy (0 for the lowest one): 0.00 eV/f.u.
* calculated formation energy: 0.10 eV per atom

Entry 4:
# Th6Hg2Ir

A relaxed Th6Hg2Ir crystal (PBE-GGA, Alexandria).

a b c (Å): 6.3453 8.1370 10.4309
angles (deg): 90.00 91.28 90.00
Last column: nearest neighbours and their distance in Å.
Fractional coordinates of all 18 atoms:
Th1 0.6331 0.4761 0.2578  1 Ir 2.81
Th2 0.8866 0.6895 0.9527  1 Ir 2.95, 2 Hg 3.19-3.26
Th3 0.1269 0.3359 0.4511  1 Ir 2.90, 2 Hg 3.17-3.21
Th4 0.3669 0.5239 0.7422  1 Ir 2.81
Th5 0.3731 0.8359 0.0489  1 Ir 2.90, 2 Hg 3.17-3.21
Th6 0.6269 0.1641 0.9511  1 Ir 2.90, 2 Hg 3.17-3.21
Th7 0.8731 0.6641 0.5489  1 Ir 2.90, 2 Hg 3.17-3.21
Th8 0.1331 0.0239 0.7578  1 Ir 2.81
Th9 0.3866 0.8105 0.4527  1 Ir 2.95, 2 Hg 3.19-3.26
Th10 0.8669 0.9761 0.2422  1 Ir 2.81
Th11 0.1134 0.3105 0.0473  1 Ir 2.95, 2 Hg 3.19-3.26
Th12 0.6134 0.1895 0.5473  1 Ir 2.95, 2 Hg 3.19-3.26
Hg1 0.8984 0.3787 0.7557  8 Th 3.17-3.54
Hg2 0.6016 0.8787 0.7443  8 Th 3.17-3.54
Hg3 0.3984 0.1213 0.2557  8 Th 3.17-3.54
Hg4 0.1016 0.6213 0.2443  8 Th 3.17-3.54
Ir1 0.0000 0.0000 0.5000  6 Th 2.81-2.95
Ir2 0.5000 0.5000 0.0000  6 Th 2.81-2.95

Values from the calculation:
* calculated formation energy: -0.22 eV per atom

Entry 5:
# BaNF2

A relaxed BaNF2 crystal (PBE-GGA, Alexandria).

a b c (Å): 5.2120 5.2120 5.2120
angles (deg): 52.07 52.07 52.07
Last column: nearest neighbours and their distance in Å.
Fractional coordinates of all 4 atoms:
Ba1 0.5000 0.5000 0.5000  6 F 2.67
F1 0.1394 0.1394 0.1394  1 N 1.88
F2 0.8606 0.8606 0.8606  1 N 1.88
N1 0.0000 0.0000 0.0000  2 F 1.88

Values from the calculation:
* polymorph energy (0 for the lowest one): 1.21 eV/f.u.
* uncorrected formation energy: -1.244 eV/atom

Entry 6:
# ScFeB4

A relaxed ScFeB4 crystal (PBE-GGA, Alexandria).

a b c (Å): 3.0633 3.0633 6.3815
angles (deg): 90.00 90.00 120.00
Last column: nearest neighbours and their distance in Å.
Fractional coordinates of all 6 atoms:
B1 0.3333 0.6667 0.2276  3 B 1.77
B2 0.6667 0.3333 0.2276  3 B 1.77
B3 0.6667 0.3333 0.7724  3 B 1.77
B4 0.3333 0.6667 0.7724  3 B 1.77
Sc1 0.0000 0.0000 0.5000  12 B 2.48
Fe1 0.0000 0.0000 0.0000  12 B 2.29

Values from the calculation:
* calculated formation energy: -0.50 eV per atom

| no. | V (Å³/cell) | E (eV/atom) |
| --- | --- | --- |
| 1 | 430 | -4.386 |
| 2 | 124 | -7.440 |
| 3 | 674 | -4.555 |
| 4 | 538 | -6.213 |
| 5 | 81 | -4.742 |
| 6 | 52 | -7.421 |